[1]
An optimized crystal structure of TlSbI2O. Source: Alexandria via LeMat-Bulk, functional GGA-PBE.

POSCAR file:
```
TlSbI2O
1.0
-0.779 -6.353 1.299
5.923 -0.164 2.746
-1.634 0.932 3.580
I Sb Tl O
2 1 1 1
Direct
0.000 0.500 0.000
0.500 0.000 0.000
0.000 0.000 0.500
0.500 0.500 0.500
0.000 0.000 0.000
```

- Spin magnetization: 0.0 μB per formula unit
- Total DFT energy (no corrections): -0.1132 Ha/atom
- Calculated volume: 172.5 Å³/cell
- Raw formation energy: -0.17 eV/atom

---

[2]
An optimized crystal structure of TlSbI2O. Source: Alexandria via LeMat-Bulk, functional GGA-PBE.

POSCAR file:
```
TlSbI2O
1.0
6.198 0.000 0.000
0.000 6.198 0.000
0.000 0.000 4.073
I Sb Tl O
2 1 1 1
Direct
0.000 0.500 0.000
0.500 0.000 0.000
0.500 0.500 0.500
0.000 0.000 0.000
0.000 0.000 0.500
```

- Spin magnetization: 0.0 μB per formula unit
- Total DFT energy (no corrections): -0.1007 Ha/atom
- Calculated volume: 156.5 Å³/cell
- Raw formation energy: 0.17 eV/atom

---

[3]
An optimized crystal structure of TlSb2IO. Source: Alexandria via LeMat-Bulk, functional GGA-PBE.

POSCAR file:
```
TlSb2IO
1.0
-5.729 0.418 -0.504
-0.593 -1.446 5.550
0.281 5.683 1.511
I Sb Tl O
1 2 1 1
Direct
0.000 0.000 0.500
0.000 0.500 0.000
0.500 0.000 0.000
0.000 0.000 0.000
0.500 0.500 0.500
```

- Spin magnetization: 0.0 μB per formula unit
- Total DFT energy (no corrections): -0.0790 Ha/atom
- Calculated volume: 195.7 Å³/cell
- Raw formation energy: 1.27 eV/atom

---

[4]
An optimized crystal structure of TlSb2IO. Source: Alexandria via LeMat-Bulk, functional GGA-PBE.

POSCAR file:
```
TlSb2IO
1.0
-1.633 -2.147 -3.743
-2.235 -3.002 2.697
-5.781 4.336 0.036
I Sb Tl O
1 2 1 1
Direct
0.000 0.000 0.500
0.000 0.500 0.000
0.500 0.000 0.000
0.500 0.500 0.500
0.000 0.000 0.000
```

- Spin magnetization: 0.0 μB per formula unit
- Total DFT energy (no corrections): -0.1292 Ha/atom
- Calculated volume: 153.8 Å³/cell
- Raw formation energy: -0.09 eV/atom

---

Repeat the fourth record exactly.
An optimized crystal structure of TlSb2IO. Source: Alexandria via LeMat-Bulk, functional GGA-PBE.

POSCAR file:
```
TlSb2IO
1.0
-1.633 -2.147 -3.743
-2.235 -3.002 2.697
-5.781 4.336 0.036
I Sb Tl O
1 2 1 1
Direct
0.000 0.000 0.500
0.000 0.500 0.000
0.500 0.000 0.000
0.500 0.500 0.500
0.000 0.000 0.000
```

- Spin magnetization: 0.0 μB per formula unit
- Total DFT energy (no corrections): -0.1292 Ha/atom
- Calculated volume: 153.8 Å³/cell
- Raw formation energy: -0.09 eV/atom

---

> Look up the raw formation energy of the fourth one.

-0.09 eV/atom

---

> The lowest calculated volume belongs to which entry?

number 4